An optimized crystal structure of Cs4Rb2AlPb2. Source: Alexandria, functional PBE-GGA.

## Properties
The total magnetization comes out at 0.072 μB/atom. For the calculated formation energy, the calculation gives -0.001 eV per atom. As for the crystal system: monoclinic. As for the uncorrected energy: -1.8355 eV per atom. Its density is 3.7 g cm⁻³.

```
data_Cs4Rb2AlPb2
_symmetry_space_group_name_H-M 'P 1'
_symmetry_Int_Tables_number 1
_cell_length_a 7.4540
_cell_length_b 9.2721
_cell_length_c 9.2721
_cell_angle_alpha 57.23
_cell_angle_beta 73.75
_cell_angle_gamma 73.75
loop_
_symmetry_equiv_pos_as_xyz
'x,y,z'
loop_
_atom_site_label
_atom_site_type_symbol
_atom_site_fract_x
_atom_site_fract_y
_atom_site_fract_z
Cs1 Cs 0.2296 0.6416 0.1041
Cs2 Cs 0.7704 0.8959 0.3584
Cs3 Cs 0.7704 0.3584 0.8959
Cs4 Cs 0.2296 0.1041 0.6416
Rb1 Rb 0.2345 0.6374 0.6374
Rb2 Rb 0.7655 0.3626 0.3626
Al1 Al 0.5000 0.0000 0.0000
Pb1 Pb 0.2455 0.1597 0.1597
Pb2 Pb 0.7545 0.8403 0.8403
```